Computed, not measured: a geometry-optimized CsCd2I5 structure at the PBE level of DFT.

- Symmetry: Cmcm (63)
- Final energy: -2.089 eV per atom
- M_tot: 0.00 μB/atom

Unit cell a=10.789 b=10.789 c=13.301 alpha=90.00 beta=90.00 gamma=143.83
Fractional positions:
Cs 0.081 0.919 0.750
Cs 0.919 0.081 0.250
Cd 0.212 0.788 0.085
Cd 0.212 0.788 0.415
Cd 0.788 0.212 0.585
Cd 0.788 0.212 0.915
I 0.080 0.920 0.071
I 0.080 0.920 0.429
I 0.284 0.716 0.594
I 0.284 0.716 0.906
I 0.303 0.697 0.250
I 0.697 0.303 0.750
I 0.716 0.284 0.094
I 0.716 0.284 0.406
I 0.920 0.080 0.571
I 0.920 0.080 0.929

Computed, not measured: a geometry-optimized SmDy3Th structure at the PBE level of DFT.

- Symmetry: C2/m (12)
- Energy relative to the lowest polymorph listed for this composition: 0 meV per atom
- M_tot: 0.00 μB/atom
- Energy of formation from the pure elements: 0.028 eV per atom

Unit cell a=6.796 b=6.796 c=13.750 alpha=93.55 beta=93.55 gamma=30.84
Fractional positions:
Sm 0.166 0.166 0.416
Sm 0.834 0.834 0.584
Dy 0.038 0.038 0.180
Dy 0.229 0.229 0.787
Dy 0.434 0.434 0.383
Dy 0.566 0.566 0.617
Dy 0.771 0.771 0.213
Dy 0.962 0.962 0.820
Th 0.366 0.366 0.019
Th 0.634 0.634 0.981

Computed, not measured: a geometry-optimized Sn2Bi5Pd12 structure at the PBE level of DFT.

- Symmetry: C2/m (12)
- M_tot: 0.00 μB/atom
- Energy of formation from the pure elements: -0.242 eV per atom

Unit cell a=9.045 b=9.045 c=6.360 alpha=100.50 beta=100.50 gamma=49.24
Fractional positions:
Sn 0.217 0.783 0.000
Sn 0.783 0.217 0.000
Bi 0.231 0.231 0.695
Bi 0.313 0.313 0.238
Bi 0.500 0.500 0.500
Bi 0.687 0.687 0.762
Bi 0.769 0.769 0.305
Pd 0.023 0.638 0.976
Pd 0.046 0.046 0.716
Pd 0.097 0.697 0.587
Pd 0.303 0.903 0.413
Pd 0.362 0.977 0.024
Pd 0.407 0.407 0.854
Pd 0.593 0.593 0.146
Pd 0.638 0.023 0.976
Pd 0.697 0.097 0.587
Pd 0.903 0.303 0.413
Pd 0.954 0.954 0.284
Pd 0.977 0.362 0.024